DFT (PBEsol) results for a relaxed CsZr3Te crystal.

The calculation puts the energy relative to the elements, uncorrected at 1.71 eV/atom. For the total magnetization, the calculation gives 1.3 μB/cell. Its total energy is -4.633 eV/atom.

Cell: 5.204 5.204 5.204 Å, 90.00 90.00 90.00°
Sites, in units of the cell vectors:
Cs1 0.000 0.000 0.000
Zr1 0.000 0.000 0.500
Zr2 0.000 0.500 0.000
Zr3 0.500 0.000 0.000
Te1 0.500 0.500 0.500

=====

DFT (PBEsol) results for a relaxed NiI crystal.

The calculation puts the energy relative to the elements, uncorrected at 0.13 eV/atom. For the total magnetization, the calculation gives 0.0 μB/cell. Its total energy is -3.832 eV/atom.

Cell: 3.959 3.959 6.773 Å, 90.00 90.00 120.00°
Sites, in units of the cell vectors:
Ni1 0.333 0.667 0.000
Ni2 0.667 0.333 0.500
I1 0.333 0.667 0.363
I2 0.667 0.333 0.863

=====

DFT (PBEsol) results for a relaxed ZnRuCl2 crystal.

The calculation puts the energy relative to the elements, uncorrected at 0.52 eV/atom. As for the energy above the lowest structure with this stoichiometry: 667.9 meV per atom. For the total magnetization, the calculation gives 0.0 μB/cell. Its total energy is -3.419 eV/atom.

Cell: 4.461 4.461 3.019 Å, 90.00 90.00 90.00°
Sites, in units of the cell vectors:
Zn1 0.000 0.000 0.000
Ru1 0.500 0.500 0.000
Cl1 0.000 0.500 0.500
Cl2 0.500 0.000 0.500

=====

DFT (PBEsol) results for a relaxed Tb5Sb3 crystal.

The calculation puts the energy relative to the elements, uncorrected at -0.99 eV/atom. For the total magnetization, the calculation gives 0.0 μB/cell. Its total energy is -5.834 eV/atom.

Cell: 8.905 8.905 6.212 Å, 90.00 90.00 120.00°
Sites, in units of the cell vectors:
Tb1 0.000 0.247 0.250
Tb2 0.000 0.753 0.750
Tb3 0.247 0.000 0.250
Tb4 0.247 0.247 0.750
Tb5 0.333 0.667 0.000
Tb6 0.333 0.667 0.500
Tb7 0.667 0.333 0.000
Tb8 0.667 0.333 0.500
Tb9 0.753 0.000 0.750
Tb10 0.753 0.753 0.250
Sb1 0.000 0.389 0.750
Sb2 0.000 0.611 0.250
Sb3 0.389 0.000 0.750
Sb4 0.389 0.389 0.250
Sb5 0.611 0.000 0.250
Sb6 0.611 0.611 0.750

=====

DFT (PBEsol) results for a relaxed MgSb3Au crystal.

The calculation puts the energy relative to the elements, uncorrected at 0.80 eV/atom. For the total magnetization, the calculation gives 0.0 μB/cell. Its total energy is -3.064 eV/atom.

Cell: 5.206 5.206 5.206 Å, 90.00 90.00 90.00°
Sites, in units of the cell vectors:
Mg1 0.000 0.000 0.000
Sb1 0.000 0.000 0.500
Sb2 0.000 0.500 0.000
Sb3 0.500 0.000 0.000
Au1 0.500 0.500 0.500

=====

DFT (PBEsol) results for a relaxed AgAu2Cl crystal.

The calculation puts the energy relative to the elements, uncorrected at 0.14 eV/atom. As for the energy above the lowest structure with this stoichiometry: 87.4 meV per atom. For the total magnetization, the calculation gives 0.0 μB/cell. Its total energy is -3.153 eV/atom.

Cell: 3.393 3.393 6.243 Å, 90.00 90.00 90.00°
Sites, in units of the cell vectors:
Ag1 0.000 0.000 0.000
Au1 0.500 0.500 0.227
Au2 0.500 0.500 0.773
Cl1 0.000 0.000 0.500